Compound: Rb2IrN
Source: Alexandria via LeMat-Bulk
Functional: meta-GGA SCAN
Structure: single point on PBEsol structure

Values from the calculation:
The value obtained for the formation energy without anion corrections is -0.10 eV/atom. As for the space group: I-42d, No. 122.

Unit cell a=3.713 b=8.704 c=8.704 alpha=87.39 beta=77.68 gamma=77.68
Atoms (fractional coordinates):
Ir: 0.750 0.500 0.500
Ir: 0.000 0.000 0.000
Rb: 0.359 0.766 0.266
Rb: 0.391 0.234 0.734
Rb: 0.375 0.266 0.234
Rb: 0.875 0.734 0.766
N: 0.250 0.500 0.500
N: 0.500 0.000 0.000



Compound: ReTe2IrN
Source: Alexandria via LeMat-Bulk
Functional: meta-GGA SCAN
Structure: single point on PBEsol structure

Values from the calculation:
The value obtained for the formation energy without anion corrections is 0.85 eV/atom. As for the space group: P4/mmm, No. 123.

Unit cell a=3.641 b=5.190 c=5.190 alpha=90.00 beta=90.00 gamma=90.00
Atoms (fractional coordinates):
Re: 0.000 0.000 0.000
Ir: 0.500 0.500 0.500
Te: 0.000 0.000 0.500
Te: 0.000 0.500 0.000
N: 0.500 0.000 0.000



Compound: ReTe2IrN
Source: Alexandria via LeMat-Bulk
Functional: meta-GGA SCAN
Structure: single point on PBEsol structure

Values from the calculation:
The value obtained for the formation energy without anion corrections is 1.07 eV/atom. As for the space group: P4/mmm, No. 123.

Unit cell a=3.579 b=5.276 c=5.276 alpha=90.00 beta=90.00 gamma=90.00
Each line ends with the local moment (μB).
Atoms (fractional coordinates):
Re: 0.500 0.500 0.500  1.92
Ir: 0.000 0.000 0.000  -0.03
Te: 0.000 0.000 0.500  -0.11
Te: 0.000 0.500 0.000  -0.11
N: 0.500 0.000 0.000  0.00



Compound: Ir3RhN
Source: Alexandria via LeMat-Bulk
Functional: meta-GGA SCAN
Structure: single point on PBEsol structure

Values from the calculation:
The value obtained for the formation energy without anion corrections is 0.84 eV/atom. As for the space group: Pm-3m, No. 221.

Unit cell a=4.024 b=4.024 c=4.024 alpha=90.00 beta=90.00 gamma=90.00
Atoms (fractional coordinates):
Ir: 0.000 0.500 0.000
Ir: 0.000 0.000 0.500
Ir: 0.500 0.000 0.000
Rh: 0.500 0.500 0.500
N: 0.000 0.000 0.000



Compound: IrRhN3
Source: Alexandria via LeMat-Bulk
Functional: meta-GGA SCAN
Structure: single point on PBEsol structure

Values from the calculation:
The value obtained for the formation energy without anion corrections is 1.69 eV/atom. As for the space group: Pm-3m, No. 221.

Unit cell a=3.816 b=3.816 c=3.816 alpha=90.00 beta=90.00 gamma=90.00
Atoms (fractional coordinates):
Ir: 0.000 0.000 0.000
Rh: 0.500 0.500 0.500
N: 0.000 0.500 0.000
N: 0.000 0.000 0.500
N: 0.500 0.000 0.000



Compound: IrRhN3
Source: Alexandria via LeMat-Bulk
Functional: meta-GGA SCAN
Structure: single point on PBEsol structure

Values from the calculation:
The value obtained for the formation energy without anion corrections is 2.13 eV/atom. As for the space group: Pm-3m, No. 221.

Unit cell a=3.782 b=3.782 c=3.782 alpha=90.00 beta=90.00 gamma=90.00
Atoms (fractional coordinates):
Ir: 0.500 0.500 0.500
Rh: 0.000 0.000 0.000
N: 0.000 0.500 0.000
N: 0.000 0.000 0.500
N: 0.500 0.000 0.000



Compound: SbIrS2N
Source: Alexandria via LeMat-Bulk
Functional: meta-GGA SCAN
Structure: single point on PBEsol structure

Values from the calculation:
The value obtained for the formation energy without anion corrections is 0.35 eV/atom. As for the space group: P4/mmm, No. 123.

Unit cell a=3.664 b=4.842 c=4.842 alpha=90.00 beta=90.00 gamma=90.00
Atoms (fractional coordinates):
Sb: 0.500 0.500 0.500
S: 0.000 0.000 0.500
S: 0.000 0.500 0.000
Ir: 0.000 0.000 0.000
N: 0.500 0.000 0.000



Compound: IrSe2SN
Source: Alexandria via LeMat-Bulk
Functional: meta-GGA SCAN
Structure: single point on PBEsol structure

Values from the calculation:
The value obtained for the formation energy without anion corrections is 1.25 eV/atom. As for the space group: P4/mmm, No. 123.

Unit cell a=3.173 b=4.814 c=4.814 alpha=90.00 beta=90.00 gamma=90.00
Atoms (fractional coordinates):
S: 0.000 0.000 0.000
Ir: 0.500 0.500 0.500
Se: 0.000 0.000 0.500
Se: 0.000 0.500 0.000
N: 0.500 0.000 0.000



Compound: IrSeS2N
Source: Alexandria via LeMat-Bulk
Functional: meta-GGA SCAN
Structure: single point on PBEsol structure

Values from the calculation:
The value obtained for the formation energy without anion corrections is 0.68 eV/atom. As for the space group: P4/mmm, No. 123.

Unit cell a=3.638 b=4.775 c=4.775 alpha=90.00 beta=90.00 gamma=90.00
Atoms (fractional coordinates):
S: 0.000 0.000 0.500
S: 0.000 0.500 0.000
Ir: 0.000 0.000 0.000
Se: 0.500 0.500 0.500
N: 0.500 0.000 0.000



Compound: SnIrSN2
Source: Alexandria via LeMat-Bulk
Functional: meta-GGA SCAN
Structure: single point on PBEsol structure

Values from the calculation:
The value obtained for the formation energy without anion corrections is 0.74 eV/atom. As for the space group: P4/mmm, No. 123.

Unit cell a=3.844 b=3.844 c=5.092 alpha=90.00 beta=90.00 gamma=90.00
Atoms (fractional coordinates):
S: 0.000 0.000 0.500
Ir: 0.000 0.000 0.000
Sn: 0.500 0.500 0.500
N: 0.000 0.500 0.000
N: 0.500 0.000 0.000



Compound: SnIrS2N
Source: Alexandria via LeMat-Bulk
Functional: meta-GGA SCAN
Structure: single point on PBEsol structure

Values from the calculation:
The value obtained for the formation energy without anion corrections is 1.64 eV/atom. As for the space group: P4/mmm, No. 123.

Unit cell a=3.822 b=4.904 c=4.904 alpha=90.00 beta=90.00 gamma=90.00
Each line ends with the local moment (μB).
Atoms (fractional coordinates):
S: 0.000 0.000 0.500  0.12
S: 0.000 0.500 0.000  0.12
Ir: 0.500 0.500 0.500  1.52
Sn: 0.000 0.000 0.000  -0.06
N: 0.500 0.000 0.000  0.77



Compound: SrIrSN2
Source: Alexandria via LeMat-Bulk
Functional: meta-GGA SCAN
Structure: single point on PBEsol structure

Values from the calculation:
The value obtained for the formation energy without anion corrections is -0.12 eV/atom. As for the space group: P4/mmm, No. 123.

Unit cell a=3.896 b=3.896 c=5.103 alpha=90.00 beta=90.00 gamma=90.00
Atoms (fractional coordinates):
Sr: 0.500 0.500 0.500
S: 0.000 0.000 0.500
Ir: 0.000 0.000 0.000
N: 0.000 0.500 0.000
N: 0.500 0.000 0.000



Number 1: ρ 4.66 g/cm3. Number 2: ρ 10.96 g/cm3. Number 3: ρ 10.79 g/cm3. Number 4: ρ 17.68 g/cm3. Number 5: ρ 10.07 g/cm3. Number 6: ρ 10.35 g/cm3. Number 7: ρ 7.58 g/cm3. Number 8: ρ 8.95 g/cm3. Number 9: ρ 6.99 g/cm3. Number 10: ρ 8.19 g/cm3. Number 11: ρ 7.03 g/cm3. Number 12: ρ 7.29 g/cm3.